# 1
Density functional theory data (PBE) for a geometry-optimized Dy3Os structure.

The calculation puts the formation energy at -24.9 kJ per mole of atoms. The calculation puts the density of states at the Fermi level at 0.734 states/eV per atom. The calculation puts the total energy at -6.517 eV per atom.

The structure belongs to space group Pnma (No. 62); the cell edges are 7.395, 9.067 and 6.329 Å and the angles 90.00°, 90.00° and 90.00°. Symmetry generates all atoms from Dy at (0.040, 0.250, 0.130), Dy at (0.175, 0.063, 0.668) and Os at (0.117, 0.750, 0.460).


# 2
Density functional theory data (PBE) for a geometry-optimized NaSbPdAu structure.

The calculation puts the density of states at the Fermi level at 0.415 states/eV per atom. For the polymorph energy (0 for the lowest one), the calculation gives 0 meV per atom. The calculation puts the total energy at -3.760 eV per atom. The formation energy from raw total energies comes out at -0.28 eV/atom.

The structure belongs to space group F-43m (No. 216); the cell edges are 6.762, 6.762 and 6.762 Å and the angles 90.00°, 90.00° and 90.00°. Symmetry generates all atoms from Na at (0.000, 0.000, 0.000), Sb at (0.000, 0.000, 0.500), Pd at (0.250, 0.250, 0.750) and Au at (0.250, 0.250, 0.250).


# 3
Density functional theory data (PBE) for a geometry-optimized Li3InBr6 structure.

The calculation puts the density of states at the Fermi level at 0.000 states/eV per atom. For the polymorph energy (0 for the lowest one), the calculation gives 50 meV per atom. The calculation puts the total energy at -3.038 eV per atom. The formation energy from raw total energies comes out at -1.19 eV/atom.

The structure belongs to space group P2_1/c (No. 14); the cell edges are 6.991, 7.021 and 12.692 Å and the angles 90.00°, 123.08° and 90.00°. Symmetry generates all atoms from Li at (0.000, 0.000, 0.000), Li at (0.214, 0.029, 0.729), In at (0.500, 0.000, 0.500), Br at (0.132, 0.101, 0.265), Br at (0.223, 0.680, 0.059) and Br at (0.429, 0.179, 0.089).


# 4
Density functional theory data (PBE) for a geometry-optimized KZnN2 structure.

The calculation puts the density of states at the Fermi level at 0.329 states/eV per atom. The calculation puts the total energy at -3.863 eV per atom. The formation energy from raw total energies comes out at 0.89 eV/atom.

The structure belongs to space group I-42d (No. 122); the cell edges are 4.543, 4.543 and 12.786 Å and the angles 90.00°, 90.00° and 90.00°. Symmetry generates all atoms from K at (0.000, 0.000, 0.000), Zn at (0.000, 0.000, 0.500) and N at (0.009, 0.250, 0.625).


Number 1: ρ 10.61 Mg/m³, calculated volume 106.08 Å³/f.u.. Number 2: ρ 9.63 Mg/m³, calculated volume 77.29 Å³/f.u.. Number 3: ρ 3.91 Mg/m³, calculated volume 261.00 Å³/f.u.. Number 4: ρ 3.34 Mg/m³, calculated volume 65.96 Å³/f.u..